This record from the Alexandria database describes NbAl2WS after structural relaxation. The functional is PBE.

**Volume**: 89.5 Å³/f.u.
**Crystal system**: tetragonal
**Space group**: No. 123
**Formation energy from raw total energies**: 0.69 eV per atom
**Mass density**: 6.733 g/cm3

a = 4.5243 Å, b = 4.3709 Å, c = 4.5243 Å
α = 90.00°, β = 90.00°, γ = 90.00°
Element x y z (fractional)
Al (0.0000, 0.0000, 0.5000)
S (0.0000, 0.0000, 0.0000)
Nb (0.5000, 0.5000, 0.5000)
W (0.0000, 0.5000, 0.0000)
Al (0.5000, 0.0000, 0.0000)

This record from the Alexandria database describes LiYZr after structural relaxation. The functional is PBE.

**Volume**: 76.7 Å³/f.u.
**Formation energy from the elements**: 0.104 eV/atom
**Crystal system**: monoclinic
**Space group**: No. 12
**Mass density**: 4.048 g/cm3

a = 3.3527 Å, b = 3.3527 Å, c = 16.7997 Å
α = 72.72°, β = 72.72°, γ = 59.92°
Element x y z (fractional)
Zr (0.7548, 0.7549, 0.0797)
Zr (0.2452, 0.2451, 0.9203)
Li (0.4086, 0.4086, 0.4253)
Y (0.7459, 0.7459, 0.7509)
Y (0.2541, 0.2541, 0.2491)
Li (0.5914, 0.5914, 0.5747)

This record from the Alexandria database describes YIn2Mo after structural relaxation. The functional is PBE.

**Volume**: 86.4 Å³/f.u.
**Formation energy from the elements**: 0.006 eV/atom
**Crystal system**: orthorhombic
**Space group**: No. 71
**Mass density**: 7.962 g/cm3

a = 5.4181 Å, b = 5.4181 Å, c = 5.4181 Å
α = 133.45°, β = 130.17°, γ = 70.56°
Element x y z (fractional)
Mo (0.7500, 0.2500, 0.5000)
In (0.9957, 0.9957, 0.0000)
Y (0.2500, 0.7500, 0.5000)
In (0.5043, 0.5043, 0.0000)

This record from the Alexandria database describes HfSi2As2 after structural relaxation. The functional is PBE.

**Volume**: 92.5 Å³/f.u.
**Crystal system**: tetragonal
**Space group**: No. 127
**Formation energy from raw total energies**: 0.06 eV per atom
**Mass density**: 6.901 g/cm3

a = 7.1830 Å, b = 7.1830 Å, c = 3.5862 Å
α = 90.00°, β = 90.00°, γ = 90.00°
Element x y z (fractional)
As (0.1329, 0.3671, 0.0000)
Hf (0.5000, 0.5000, 0.0000)
Si (0.7959, 0.2959, 0.5000)
As (0.3671, 0.8671, 0.0000)
Hf (0.0000, 0.0000, 0.0000)
Si (0.2041, 0.7041, 0.5000)
As (0.8671, 0.6329, 0.0000)
Si (0.2959, 0.2041, 0.5000)
As (0.6329, 0.1329, 0.0000)
Si (0.7041, 0.7959, 0.5000)

This record from the Alexandria database describes LaReN2F after structural relaxation. The functional is PBE.

**Volume**: 67.2 Å³/f.u.
**Crystal system**: tetragonal
**Space group**: No. 123
**Formation energy from raw total energies**: -1.00 eV per atom
**Mass density**: 9.193 g/cm3

a = 3.9867 Å, b = 3.9867 Å, c = 4.2292 Å
α = 90.00°, β = 90.00°, γ = 90.00°
Element x y z (fractional)
N (0.5000, 0.0000, 0.0000)
F (0.0000, 0.0000, 0.5000)
N (0.0000, 0.5000, 0.0000)
Re (0.0000, 0.0000, 0.0000)
La (0.5000, 0.5000, 0.5000)

This record from the Alexandria database describes TmMgZn10 after structural relaxation. The functional is PBE.

**Volume**: 201.3 Å³/f.u.
**Formation energy from the elements**: -0.137 eV/atom
**Crystal system**: orthorhombic
**Space group**: No. 47
**Mass density**: 6.989 g/cm3

a = 4.2572 Å, b = 5.2020 Å, c = 9.0911 Å
α = 90.00°, β = 90.00°, γ = 90.00°
Element x y z (fractional)
Zn (0.0000, 0.5000, 0.1790)
Mg (0.0000, 0.5000, 0.5000)
Zn (0.5000, 0.2431, 0.2413)
Zn (0.5000, 0.2431, 0.7587)
Zn (0.0000, 0.0000, 0.3417)
Zn (0.5000, 0.0000, 0.5000)
Zn (0.0000, 0.5000, 0.8210)
Zn (0.5000, 0.7569, 0.7587)
Tm (0.0000, 0.0000, 0.0000)
Zn (0.5000, 0.7569, 0.2413)
Zn (0.0000, 0.0000, 0.6583)
Zn (0.5000, 0.5000, 0.0000)

This record from the Alexandria database describes CoPOs2 after structural relaxation. The functional is PBE.

**Volume**: 50.4 Å³/f.u.
**Formation energy from the elements**: 0.029 eV/atom
**Crystal system**: tetragonal
**Space group**: No. 99
**Mass density**: 15.483 g/cm3

a = 2.8066 Å, b = 2.8066 Å, c = 6.4041 Å
α = 90.00°, β = 90.00°, γ = 90.00°
Element x y z (fractional)
Os (0.5000, 0.5000, 0.2721)
Os (0.0000, 0.0000, 0.9972)
P (0.0000, 0.0000, 0.5354)
Co (0.5000, 0.5000, 0.6953)

This record from the Alexandria database describes NaLiSiAg2 after structural relaxation. The functional is PBE.

**Volume**: 115.0 Å³/f.u.
**Crystal system**: tetragonal
**Space group**: No. 123
**Formation energy from raw total energies**: 0.03 eV per atom
**Mass density**: 3.953 g/cm3

a = 4.8509 Å, b = 4.8509 Å, c = 4.8873 Å
α = 90.00°, β = 90.00°, γ = 90.00°
Element x y z (fractional)
Si (0.0000, 0.0000, 0.0000)
Li (0.0000, 0.0000, 0.5000)
Ag (0.0000, 0.5000, 0.0000)
Na (0.5000, 0.5000, 0.5000)
Ag (0.5000, 0.0000, 0.0000)

This record from the Alexandria database describes MnCrCl2 after structural relaxation. The functional is PBE.

**Volume**: 79.4 Å³/f.u.
**Crystal system**: monoclinic
**Space group**: No. 12
**Formation energy from raw total energies**: 0.03 eV per atom
**Mass density**: 3.718 g/cm3

a = 5.2856 Å, b = 5.2856 Å, c = 3.4691 Å
α = 67.84°, β = 67.84°, γ = 96.38°
Last column: magnetic moment on the atom in μB.
Element x y z (fractional)
Cl (0.5000, 0.5000, 0.0000)  0.03
Mn (0.0000, 0.5000, 0.5000)  3.96
Cl (0.0000, 0.0000, 0.0000)  0.03
Cr (0.5000, 0.0000, 0.5000)  3.95

This record from the Alexandria database describes Na2ZrBr5 after structural relaxation. The functional is PBE.

**Volume**: 416.7 Å³/f.u.
**Crystal system**: monoclinic
**Space group**: No. 8
**Formation energy from raw total energies**: -1.32 eV per atom
**Mass density**: 2.139 g/cm3

a = 8.0874 Å, b = 7.9659 Å, c = 7.9445 Å
α = 106.24°, β = 120.59°, γ = 90.00°
Last column: magnetic moment on the atom in μB.
Element x y z (fractional)
Br (0.8157, 0.9810, 0.6314)  -0.01
Zr (0.0082, 0.0271, 0.0165)  0.71
Na (0.6070, 0.0506, 0.2140)  0.00
Br (0.8684, 0.2820, 0.1894)  0.00
Na (0.0817, 0.5546, 0.1635)  0.00
Br (0.8103, 0.7998, 0.0749)  0.00
Br (0.3210, 0.2819, 0.1894)  0.00
Br (0.2646, 0.7998, 0.0749)  0.00

This record from the Alexandria database describes FeSn4Ge2 after structural relaxation. The functional is PBE.

**Volume**: 179.4 Å³/f.u.
**Formation energy from the elements**: 0.377 eV/atom
**Crystal system**: tetragonal
**Space group**: No. 139
**Mass density**: 6.256 g/cm3

a = 4.9968 Å, b = 4.9968 Å, c = 8.0079 Å
α = 71.82°, β = 71.82°, γ = 90.00°
Last column: magnetic moment on the atom in μB.
Element x y z (fractional)
Ge (0.3648, 0.3648, 0.2703)  0.10
Sn (0.8213, 0.8213, 0.3573)  -0.03
Sn (0.1787, 0.1787, 0.6427)  -0.03
Ge (0.6352, 0.6352, 0.7297)  0.10
Sn (0.5000, 0.0000, 0.0000)  -0.02
Fe (0.0000, 0.0000, 0.0000)  1.51
Sn (0.0000, 0.5000, 0.0000)  -0.02

This record from the Alexandria database describes Ta6Pt2C after structural relaxation. The functional is PBE.

**Volume**: 147.2 Å³/f.u.
**Formation energy from the elements**: -0.343 eV/atom
**Crystal system**: monoclinic
**Space group**: No. 14
**Mass density**: 16.783 g/cm3

a = 5.8151 Å, b = 5.8150 Å, c = 8.7067 Å
α = 90.00°, β = 90.00°, γ = 90.00°
Element x y z (fractional)
Ta (0.5032, 0.4994, 0.2499)
Ta (0.4968, 0.5006, 0.7501)
Pt (0.9995, 0.5000, 0.7500)
C (0.0000, 0.0000, 0.5000)
Ta (0.7835, 0.7306, 0.9988)
C (0.5000, 0.5000, 0.0000)
Pt (0.0005, 0.5000, 0.2500)
Pt (0.5005, 0.0000, 0.7500)
Ta (0.9968, 0.9994, 0.2501)
Ta (0.2165, 0.2694, 0.0012)
Ta (0.2306, 0.2835, 0.4988)
Ta (0.0032, 0.0006, 0.7499)
Pt (0.4995, 0.0000, 0.2500)
Ta (0.2835, 0.7694, 0.4988)
Ta (0.7694, 0.7165, 0.5012)
Ta (0.2694, 0.7835, 0.0012)
Ta (0.7306, 0.2165, 0.9988)
Ta (0.7165, 0.2306, 0.5012)